Entry 1:
This record from the Alexandria database describes a geometry-optimized Tb3PrSm12 structure. The functional is PBE-GGA.

VASP energy = -75.05 eV/f.u.

```
Tb3PrSm12
1.0
5.118 0.000 0.000
0.000 5.118 0.000
0.000 0.000 20.468
Tb Pr Sm
3 1 12
direct
0.000 0.000 0.251
0.000 0.000 0.500
0.000 0.000 0.749
0.000 0.000 0.000
0.500 0.500 0.000
0.500 0.500 0.252
0.500 0.500 0.500
0.500 0.500 0.748
0.500 0.000 0.127
0.500 0.000 0.376
0.500 0.000 0.624
0.500 0.000 0.873
0.000 0.500 0.127
0.000 0.500 0.376
0.000 0.500 0.624
0.000 0.500 0.873
```

Entry 2:
This record from the Alexandria database describes a geometry-optimized Tb3Pr2Sm4 structure. The functional is PBE-GGA.

E above lowest polymorph = 0.00 eV per formula unit

```
Tb3Pr2Sm4
1.0
-3.117 -1.847 -0.331
3.183 -1.736 -0.302
-0.040 -4.681 26.510
Tb Pr Sm
3 2 4
direct
0.000 0.000 0.982
0.000 0.000 0.326
0.667 0.333 0.651
0.667 0.333 0.089
0.667 0.333 0.871
0.000 0.000 0.544
0.667 0.333 0.435
0.667 0.333 0.221
0.000 0.000 0.759
```

Entry 3:
This record from the Alexandria database describes a geometry-optimized TbPr7Sm4 structure. The functional is PBE-GGA.

E above lowest polymorph = 0.00 eV per formula unit

```
TbPr7Sm4
1.0
7.081 1.897 0.929
5.275 7.838 2.548
-1.056 -0.482 9.094
Tb Pr Sm
1 7 4
direct
0.000 0.000 0.000
0.750 0.500 0.001
0.250 0.500 0.999
0.970 0.280 0.668
0.030 0.720 0.332
0.221 0.780 0.667
0.500 0.000 0.000
0.779 0.220 0.333
0.529 0.722 0.331
0.471 0.278 0.669
0.721 0.780 0.667
0.279 0.220 0.333
```

Entry 4:
This record from the Alexandria database describes a geometry-optimized Tb5Pr12Sm2 structure. The functional is PBE-GGA.

E above lowest polymorph = 0.00 eV per formula unit

```
Tb5Pr12Sm2
1.0
-4.457 -1.044 9.494
7.841 -4.588 -2.674
4.787 5.892 2.895
Tb Pr Sm
5 12 2
direct
0.244 0.488 0.514
0.347 0.693 0.089
0.000 0.000 0.500
0.653 0.307 0.911
0.756 0.512 0.486
0.858 0.716 0.115
0.038 0.624 0.792
0.586 0.624 0.792
0.168 0.787 0.389
0.620 0.787 0.389
0.447 0.894 0.713
0.553 0.106 0.287
0.832 0.213 0.611
0.380 0.213 0.611
0.962 0.376 0.208
0.414 0.376 0.208
0.142 0.284 0.885
0.745 0.000 0.000
0.255 0.000 0.000
```

Entry 5:
This record from the Alexandria database describes a geometry-optimized Tb5Pr2Sm structure. The functional is PBE-GGA.

E above lowest polymorph = 0.85 eV per formula unit

```
Tb5Pr2Sm
1.0
1.658 9.397 -4.338
-0.879 -3.393 -5.048
-8.932 -2.782 6.826
Tb Pr Sm
10 4 2
direct
0.445 0.463 0.806
0.903 0.688 0.867
0.097 0.312 0.133
0.861 0.497 0.533
0.139 0.503 0.467
0.716 0.029 0.576
0.284 0.971 0.424
0.555 0.537 0.194
0.287 0.927 0.838
0.713 0.073 0.162
0.140 0.369 0.862
0.623 0.024 0.814
0.860 0.631 0.138
0.377 0.976 0.186
0.000 0.000 0.500
0.500 0.500 0.500
```

Entry 6:
This record from the Alexandria database describes a geometry-optimized Tb12Pr6Sm structure. The functional is PBE-GGA.

E above lowest polymorph = 1.74 eV per formula unit

```
Tb12Pr6Sm
1.0
-2.908 8.327 0.108
-7.772 -4.132 -0.574
1.438 -1.034 8.641
Tb Pr Sm
12 6 1
direct
0.757 0.243 0.500
0.356 0.082 0.356
0.356 0.356 0.082
0.918 0.644 0.644
0.644 0.644 0.918
0.644 0.918 0.644
0.500 0.757 0.243
0.243 0.500 0.757
0.243 0.757 0.500
0.500 0.243 0.757
0.757 0.500 0.243
0.082 0.356 0.356
0.903 0.344 0.903
0.903 0.903 0.344
0.344 0.903 0.903
0.097 0.097 0.656
0.097 0.656 0.097
0.656 0.097 0.097
0.000 0.000 0.000
```

Entry 7:
This record from the Alexandria database describes a geometry-optimized TbPr8Sm6 structure. The functional is PBE-GGA.

E above lowest polymorph = 0.00 eV per formula unit

```
TbPr8Sm6
1.0
9.995 0.000 0.000
4.998 8.656 0.000
4.998 2.885 6.076
Tb Pr Sm
1 8 6
direct
0.000 0.000 0.000
0.355 0.226 0.489
0.774 0.070 0.511
0.070 0.645 0.511
0.586 0.586 0.242
0.414 0.414 0.758
0.930 0.355 0.489
0.226 0.930 0.489
0.645 0.774 0.511
0.391 0.920 0.972
0.080 0.283 0.028
0.283 0.609 0.028
0.717 0.391 0.972
0.920 0.717 0.972
0.609 0.080 0.028
```

Entry 8:
This record from the Alexandria database describes a geometry-optimized Tb2Pr5Sm12 structure. The functional is PBE-GGA.

E above lowest polymorph = 0.00 eV per formula unit

```
Tb2Pr5Sm12
1.0
6.147 -0.090 1.211
1.273 9.637 4.738
-0.066 -0.449 10.806
Tb Pr Sm
2 5 12
direct
0.000 0.229 0.771
0.000 0.771 0.229
0.447 0.214 0.214
0.858 0.324 0.324
0.500 0.000 0.000
0.142 0.676 0.676
0.553 0.786 0.786
0.996 0.880 0.880
0.200 0.549 0.057
0.200 0.057 0.549
0.618 0.643 0.152
0.618 0.152 0.643
0.275 0.448 0.448
0.725 0.552 0.552
0.382 0.357 0.848
0.382 0.848 0.357
0.800 0.451 0.943
0.800 0.943 0.451
0.004 0.120 0.120
```

| no. | density (g/cm³) |
| --- | --- |
| 1 | 7.50 |
| 2 | 7.32 |
| 3 | 6.86 |
| 4 | 6.87 |
| 5 | 7.55 |
| 6 | 7.31 |
| 7 | 6.91 |
| 8 | 7.17 |